RuSe3 at its PBEsol-relaxed geometry, computed with meta-GGA SCAN.

formation energy (no corrections) = 0.6983 eV/atom
E above lowest polymorph = 782 meV per atom
space group = I4/mmm, No. 139
spin magnetization = 0.000 μB per atom

Lattice parameters (Å, degrees): 4.4368 4.6068 4.4368 61.21 90.00 118.79
With the nearest neighbours (Å) after each atom.
Fractional positions:
Se  0.5000  0.0000  0.5000  8 Se 2.79
Se  0.2500  0.5000  0.2500  4 Ru 2.79, 4 Se 2.79
Se  0.7500  0.5000  0.7500  4 Se 2.79, 4 Ru 2.79
Ru  0.0000  0.0000  0.0000  8 Se 2.79



RuSe3 at its PBEsol-relaxed geometry, computed with meta-GGA SCAN.

formation energy (no corrections) = -0.0832 eV/atom
E above lowest polymorph = 0 meV per atom
space group = Pmmn, No. 59
spin magnetization = 0.000 μB per atom

Lattice parameters (Å, degrees): 3.5247 6.6881 7.3795 90.00 90.00 90.00
With the nearest neighbours (Å) after each atom.
Fractional positions:
Se  0.0000  0.2207  0.5000  2 Ru 2.46
Se  0.5000  0.3196  0.1806  3 Ru 2.58-2.59, 1 Se 2.67
Se  0.5000  0.3196  0.8194  3 Ru 2.58-2.59, 1 Se 2.67
Se  0.0000  0.6804  0.3194  3 Ru 2.58-2.59, 1 Se 2.67
Se  0.0000  0.6804  0.6806  3 Ru 2.58-2.59, 1 Se 2.67
Se  0.5000  0.7793  0.0000  2 Ru 2.46
Ru  0.5000  0.4780  0.5000  8 Se 2.46-2.59
Ru  0.0000  0.5220  0.0000  8 Se 2.46-2.59



Ru3Se4 at its PBEsol-relaxed geometry, computed with meta-GGA SCAN.

formation energy (no corrections) = 0.8842 eV/atom
space group = P6/mmm, No. 191
spin magnetization = 0.000 μB per atom

Lattice parameters (Å, degrees): 4.5895 5.4093 5.4093 120.00 90.00 90.00
With the nearest neighbours (Å) after each atom.
Fractional positions:
Se  0.5000  0.3333  0.6667  6 Ru 2.78
Se  0.7592  0.0000  0.0000  2 Se 2.21-2.38
Se  0.5000  0.6667  0.3333  6 Ru 2.78
Se  0.2408  0.0000  0.0000  2 Se 2.21-2.38
Ru  0.0000  0.0000  0.5000  4 Ru 2.70, 8 Se 2.78-2.92
Ru  0.0000  0.5000  0.5000  4 Ru 2.70, 8 Se 2.78-2.92
Ru  0.0000  0.5000  0.0000  4 Ru 2.70, 8 Se 2.78-2.92



RuSe2 at its PBEsol-relaxed geometry, computed with meta-GGA SCAN.

formation energy (no corrections) = -0.5153 eV/atom
space group = Pa-3, No. 205
spin magnetization = 0.000 μB per atom

Lattice parameters (Å, degrees): 5.9168 5.9168 5.9168 90.00 90.00 90.00
With the nearest neighbours (Å) after each atom.
Fractional positions:
Se  0.3786  0.1214  0.8786  3 Ru 2.46, 1 Se 2.49
Se  0.1214  0.8786  0.3786  3 Ru 2.46, 1 Se 2.49
Se  0.6214  0.8786  0.1214  3 Ru 2.46, 1 Se 2.49
Se  0.8786  0.3786  0.1214  3 Ru 2.46, 1 Se 2.49
Se  0.1214  0.6214  0.8786  3 Ru 2.46, 1 Se 2.49
Se  0.6214  0.6214  0.6214  3 Ru 2.46, 1 Se 2.49
Se  0.8786  0.1214  0.6214  3 Ru 2.46, 1 Se 2.49
Se  0.3786  0.3786  0.3786  3 Ru 2.46, 1 Se 2.49
Ru  0.0000  0.5000  0.5000  6 Se 2.46
Ru  0.0000  0.0000  0.0000  6 Se 2.46
Ru  0.5000  0.5000  0.0000  6 Se 2.46
Ru  0.5000  0.0000  0.5000  6 Se 2.46



RuSe2 at its PBEsol-relaxed geometry, computed with meta-GGA SCAN.

formation energy (no corrections) = 0.6402 eV/atom
space group = P6_3/mmc, No. 194
spin magnetization = 0.000 μB per atom

Lattice parameters (Å, degrees): 4.4757 4.4757 5.6337 90.00 90.00 120.00
With the nearest neighbours (Å) after each atom.
Fractional positions:
Se  0.0000  0.0000  0.5000  8 Se 2.82-2.94, 6 Ru 2.94
Se  0.3333  0.6667  0.7500  5 Ru 2.58-2.82
Se  0.0000  0.0000  0.0000  8 Se 2.82-2.94, 6 Ru 2.94
Se  0.6667  0.3333  0.2500  5 Ru 2.58-2.82
Ru  0.3333  0.6667  0.2500  5 Se 2.58-2.82
Ru  0.6667  0.3333  0.7500  5 Se 2.58-2.82



SiRuSe at its PBEsol-relaxed geometry, computed with meta-GGA SCAN.

formation energy (no corrections) = -0.0375 eV/atom
space group = F-43m, No. 216
spin magnetization = 0.000 μB per atom

Lattice parameters (Å, degrees): 4.1124 4.1124 4.1124 60.00 60.00 60.00
With the nearest neighbours (Å) after each atom.
Fractional positions:
Ru  0.2500  0.2500  0.2500  4 Se 2.52, 4 Si 2.52
Se  0.0000  0.0000  0.0000  4 Ru 2.52
Si  0.5000  0.5000  0.5000  4 Ru 2.52



SiRuSe2 at its PBEsol-relaxed geometry, computed with meta-GGA SCAN.

formation energy (no corrections) = 0.5539 eV/atom
space group = P4/mmm, No. 123
spin magnetization = 0.000 μB per atom

Lattice parameters (Å, degrees): 3.0109 4.5577 4.5577 90.00 90.00 90.00
With the nearest neighbours (Å) after each atom.
Fractional positions:
Ru  0.5000  0.0000  0.0000  8 Se 2.73, 2 Ru 3.01
Si  0.5000  0.5000  0.5000  8 Se 2.73, 2 Si 3.01
Se  0.0000  0.5000  0.0000  4 Ru 2.73, 4 Si 2.73, 2 Se 3.01
Se  0.0000  0.0000  0.5000  4 Ru 2.73, 4 Si 2.73, 2 Se 3.01



SiRu3Se at its PBEsol-relaxed geometry, computed with meta-GGA SCAN.

formation energy (no corrections) = 0.9501 eV/atom
E above lowest polymorph = 0 meV per atom
space group = Pm-3m, No. 221
spin magnetization = 0.000 μB per atom

Lattice parameters (Å, degrees): 4.3549 4.3549 4.3549 90.00 90.00 90.00
With the nearest neighbours (Å) after each atom.
Fractional positions:
Ru  0.5000  0.0000  0.0000  2 Si 2.18
Ru  0.0000  0.0000  0.5000  2 Si 2.18
Ru  0.0000  0.5000  0.0000  2 Si 2.18
Si  0.0000  0.0000  0.0000  6 Ru 2.18
Se  0.5000  0.5000  0.5000  12 Ru 3.08



Si2RuSe at its PBEsol-relaxed geometry, computed with meta-GGA SCAN.

formation energy (no corrections) = 0.3276 eV/atom
space group = Fmmm, No. 69
spin magnetization = 0.000 μB per atom

Lattice parameters (Å, degrees): 3.9073 3.9062 4.8219 109.83 109.84 99.36
With the nearest neighbours (Å) after each atom.
Fractional positions:
Si  0.0000  0.0000  0.5000  2 Si 2.53, 2 Se 2.54, 2 Ru 2.54
Si  0.5000  0.5000  0.5000  2 Si 2.53, 2 Ru 2.54, 2 Se 2.54
Ru  0.5000  0.0000  0.0000  2 Se 2.53, 4 Si 2.54
Se  0.0000  0.5000  0.0000  2 Ru 2.53, 4 Si 2.54



SiRuSe2 at its PBEsol-relaxed geometry, computed with meta-GGA SCAN.

formation energy (no corrections) = 0.2973 eV/atom
space group = I-42d, No. 122
spin magnetization = 0.000 μB per atom

Lattice parameters (Å, degrees): 5.5429 5.5429 6.8093 114.02 114.02 90.00
With the nearest neighbours (Å) after each atom.
Fractional positions:
Se  0.6250  0.6382  0.7500  2 Ru 2.36, 2 Si 2.45
Se  0.1250  0.1118  0.7500  2 Ru 2.36, 2 Si 2.45
Se  0.3618  0.8750  0.2500  2 Ru 2.36, 2 Si 2.45
Se  0.8882  0.3750  0.2500  2 Ru 2.36, 2 Si 2.45
Ru  0.2500  0.7500  0.5000  4 Se 2.36
Ru  0.0000  0.0000  0.0000  4 Se 2.36
Si  0.7500  0.2500  0.5000  4 Se 2.45
Si  0.5000  0.5000  0.0000  4 Se 2.45



Si2RuSe at its PBEsol-relaxed geometry, computed with meta-GGA SCAN.

formation energy (no corrections) = 0.4496 eV/atom
space group = I4/mmm, No. 139
spin magnetization = 0.000 μB per atom

Lattice parameters (Å, degrees): 3.9703 3.9703 4.5969 115.58 115.58 90.00
With the nearest neighbours (Å) after each atom.
Fractional positions:
Ru  0.5000  0.5000  0.0000  8 Si 2.69, 4 Se 2.81
Si  0.7500  0.2500  0.5000  4 Se 2.69, 4 Ru 2.69, 4 Si 2.81
Si  0.2500  0.7500  0.5000  4 Ru 2.69, 4 Se 2.69, 4 Si 2.81
Se  0.0000  0.0000  0.0000  8 Si 2.69, 4 Ru 2.81



ZnSi2RuSe at its PBEsol-relaxed geometry, computed with meta-GGA SCAN.

formation energy (no corrections) = 1.5199 eV/atom
space group = P4/mmm, No. 123
spin magnetization = 0.362 μB per atom

Lattice parameters (Å, degrees): 4.4670 4.6573 4.6573 90.00 90.00 90.00
With the nearest neighbours (Å) after each atom.
Fractional positions:
Ru  0.5000  0.5000  0.5000  8 Si 3.23, 4 Zn 3.29
Si  0.0000  0.0000  0.5000  2 Se 2.33
Si  0.0000  0.5000  0.0000  2 Se 2.33
Se  0.0000  0.0000  0.0000  2 Zn 2.23, 4 Si 2.33
Zn  0.5000  0.0000  0.0000  2 Se 2.23